DFT (GGA-PBE) results for a relaxed H2PdCl5 crystal.

Lattice parameters (Å, degrees): 4.000 9.455 8.052 115.17 63.16 74.97
Fractional coordinates of all 8 atoms:
H (0.544, 0.632, 0.080)
Cl (0.930, 0.351, 0.902)
H (0.197, 0.297, 0.683)
Cl (0.612, 0.220, 0.342)
Cl (0.594, 0.594, 0.667)
Pd (0.121, 0.905, 0.999)
Cl (0.277, 0.822, 0.234)
Cl (0.725, 0.956, 0.870)

Computed properties:
- DOS(E_F) (states/eV/atom) = 0.647
- symmetry = P1
- uncorrected energy (eV per atom) = -3.001
- density (g/cm³) = 2.326


DFT (GGA-PBE) results for a relaxed HfBeInFe2 crystal.

Lattice parameters (Å, degrees): 4.490 5.421 4.490 90.00 90.00 90.00
Last column: magnetic moment on the atom in μB.
Fractional coordinates of all 5 atoms:
Fe (0.500, 0.000, 0.000)  -0.23
Be (0.500, 0.500, 0.500)  0.00
In (0.000, 0.500, 0.000)  0.02
Hf (0.000, 0.000, 0.000)  0.02
Fe (0.000, 0.000, 0.500)  -0.07

Computed properties:
- formation energy from the elements (eV/atom) = 1.858
- DOS(E_F) (states/eV/atom) = 1.670
- symmetry = P4/mmm
- uncorrected energy (eV per atom) = -4.810
- density (g/cm³) = 6.291


DFT (GGA-PBE) results for a relaxed Al3AsS crystal.

Lattice parameters (Å, degrees): 4.961 4.961 4.961 90.00 90.00 90.00
Fractional coordinates of all 5 atoms:
Al (0.500, 0.000, 0.000)
Al (0.000, 0.500, 0.000)
S (0.500, 0.500, 0.500)
As (0.000, 0.000, 0.000)
Al (0.000, 0.000, 0.500)

Computed properties:
- DOS(E_F) (states/eV/atom) = 0.388
- symmetry = Pm-3m
- energy above the lowest structure with this stoichiometry (eV per formula unit) = 0.84
- uncorrected energy (eV per atom) = -3.428
- density (g/cm³) = 2.556
- ΔE_f (raw) (eV/f.u.) = 2.86


DFT (GGA-PBE) results for a relaxed CsLiI2Br6 crystal.

Lattice parameters (Å, degrees): 8.141 6.090 10.782 105.08 107.26 111.76
Fractional coordinates of all 10 atoms:
Cs (0.996, 0.519, 0.488)
Br (0.860, 0.837, 0.238)
I (0.509, 0.397, 0.753)
Br (0.901, 0.621, 0.814)
I (0.466, 0.611, 0.177)
Br (0.509, 0.894, 0.747)
Br (0.447, 0.102, 0.180)
Li (0.056, 0.922, 0.072)
Br (0.089, 0.389, 0.130)
Br (0.131, 0.185, 0.703)

Computed properties:
- DOS(E_F) (states/eV/atom) = 0.110
- symmetry = P1
- uncorrected energy (eV per atom) = -2.270
- density (g/cm³) = 3.365
- ΔE_f (raw) (eV/f.u.) = -6.79


DFT (GGA-PBE) results for a relaxed HfNiAs crystal.

Lattice parameters (Å, degrees): 3.571 3.571 4.653 112.56 112.56 90.00
Fractional coordinates of all 3 atoms:
As (0.274, 0.274, 0.548)
Hf (0.618, 0.618, 0.235)
Ni (0.958, 0.958, 0.917)

Computed properties:
- formation energy from the elements (eV/atom) = -0.385
- DOS(E_F) (states/eV/atom) = 0.663
- symmetry = I4mm
- uncorrected energy (eV per atom) = -7.180
- density (g/cm³) = 10.400


DFT (GGA-PBE) results for a relaxed YCuOs crystal.

Lattice parameters (Å, degrees): 5.315 5.315 3.376 71.48 71.48 37.03
Fractional coordinates of all 3 atoms:
Cu (0.966, 0.966, 0.034)
Os (0.362, 0.362, 0.638)
Y (0.672, 0.672, 0.328)

Computed properties:
- formation energy from the elements (eV/atom) = 0.125
- DOS(E_F) (states/eV/atom) = 0.446
- symmetry = I4mm
- energy above the lowest structure with this stoichiometry (eV per formula unit) = 1.13
- uncorrected energy (eV per atom) = -7.139
- density (g/cm³) = 10.514


Among the records above, which one has the highest density?
YCuOs


Which value of uncorrected energy does entry 4 give?
-2.270 eV per atom